Material: Sr2P3Pb3O13
Method: DFT, PBE-GGA
State: relaxed

Calculated volume ... 630.56 Å³/cell
Formation energy (no corrections) ... -2.2202 eV per atom
Space-group type ... No. 176

Unit cell a=9.9025 b=9.9025 c=7.4251 alpha=90.00 beta=90.00 gamma=120.00
Closest atoms and distances in Å follow each position.
Fractional positions:
Sr (0.3333, 0.6667, 0.0035)  6 O 2.58-2.61
Sr (0.3333, 0.6667, 0.4965)  6 O 2.58-2.61
Sr (0.6667, 0.3333, 0.5035)  6 O 2.58-2.61
Sr (0.6667, 0.3333, 0.9965)  6 O 2.58-2.61
P (0.0316, 0.6260, 0.7500)  4 O 1.54-1.57
P (0.3740, 0.4056, 0.7500)  4 O 1.54-1.57
P (0.4056, 0.0316, 0.2500)  4 O 1.54-1.57
P (0.5944, 0.9684, 0.7500)  4 O 1.54-1.57
P (0.6260, 0.5944, 0.2500)  4 O 1.54-1.57
P (0.9684, 0.3740, 0.2500)  4 O 1.54-1.57
Pb (0.0056, 0.2385, 0.7500)  4 O 2.33-2.58
Pb (0.2328, 0.9944, 0.7500)  4 O 2.33-2.58
Pb (0.2385, 0.2328, 0.2500)  4 O 2.33-2.58
Pb (0.7615, 0.7672, 0.7500)  4 O 2.33-2.58
Pb (0.7672, 0.0056, 0.2500)  4 O 2.33-2.58
Pb (0.9944, 0.7615, 0.2500)  4 O 2.33-2.58
O (0.0000, 0.0000, 0.2500)  3 Pb 2.33
O (0.0000, 0.0000, 0.7500)  3 Pb 2.33
O (0.0860, 0.7359, 0.5811)  1 P 1.57
O (0.0860, 0.7359, 0.9189)  1 P 1.57
O (0.1247, 0.5368, 0.7500)  1 P 1.56
O (0.1456, 0.4883, 0.2500)  1 P 1.54
O (0.2641, 0.3501, 0.5811)  1 P 1.57
O (0.2641, 0.3501, 0.9189)  1 P 1.57
O (0.3427, 0.8544, 0.2500)  1 P 1.54
O (0.3501, 0.0860, 0.0811)  1 P 1.57
O (0.3501, 0.0860, 0.4189)  1 P 1.57
O (0.4120, 0.8753, 0.7500)  1 P 1.56
O (0.4632, 0.5880, 0.7500)  1 P 1.56
O (0.4883, 0.3427, 0.7500)  1 P 1.54
O (0.5117, 0.6573, 0.2500)  1 P 1.54
O (0.5368, 0.4120, 0.2500)  1 P 1.56
O (0.5880, 0.1247, 0.2500)  1 P 1.56
O (0.6499, 0.9140, 0.5811)  1 P 1.57
O (0.6499, 0.9140, 0.9189)  1 P 1.57
O (0.6573, 0.1456, 0.7500)  1 P 1.54
O (0.7359, 0.6499, 0.0811)  1 P 1.57
O (0.7359, 0.6499, 0.4189)  1 P 1.57
O (0.8544, 0.5117, 0.7500)  1 P 1.54
O (0.8753, 0.4632, 0.2500)  1 P 1.56
O (0.9140, 0.2641, 0.0811)  1 P 1.57
O (0.9140, 0.2641, 0.4189)  1 P 1.57